Record 1
Density functional theory data (PBE-GGA) for crystalline BeTe at its relaxed geometry.

```
6
Lattice="5.105 0.000 0.000 0.000 5.105 0.000 0.000 0.000 5.105" Properties=species:S:1:pos:R:3 pbc="T T T"
Be 0.000 0.000 2.552
Be 0.000 2.552 0.000
Be 2.552 0.000 0.000
Te 0.000 2.552 2.552
Te 2.552 0.000 2.552
Te 2.552 2.552 0.000
```

Computed properties:
- total DFT energy (no corrections) (eV/atom) = -2.87
- size of the total moment (μB/f.u.) = 0.00
- relative energy among the computed polymorphs (eV per atom) = 0.931
- space-group type = Pm-3m (221)
- uncorrected formation energy (eV per atom) = 0.566

Record 2
Density functional theory data (PBE-GGA) for crystalline BeTe at its relaxed geometry.

```
4
Lattice="3.576 0.000 0.000 0.000 9.380 0.000 0.000 0.000 3.573" Properties=species:S:1:pos:R:3 pbc="T T T"
Be 0.000 0.000 0.000
Be 1.788 4.690 0.000
Te 0.000 4.690 1.787
Te 1.788 0.000 1.787
```

Computed properties:
- total DFT energy (no corrections) (eV/atom) = -3.05
- size of the total moment (μB/f.u.) = 0.00
- relative energy among the computed polymorphs (eV per atom) = 0.754
- space-group type = Cmmm (65)
- uncorrected formation energy (eV per atom) = 0.389

Record 3
Density functional theory data (PBE-GGA) for crystalline Be3Te4 at its relaxed geometry.

```
7
Lattice="4.728 0.000 0.000 -2.364 4.094 0.000 0.000 0.000 8.847" Properties=species:S:1:pos:R:3 pbc="T T T"
Be -1.182 2.047 0.000
Be 2.364 0.000 0.000
Be 1.182 2.047 0.000
Te 0.000 0.000 1.665
Te 0.000 0.000 7.182
Te 0.000 2.729 4.424
Te 2.364 1.365 4.424
```

Computed properties:
- total DFT energy (no corrections) (eV/atom) = -2.94
- size of the total moment (μB/f.u.) = 0.00
- relative energy among the computed polymorphs (eV per atom) = 0.598
- space-group type = P6/mmm (191)
- uncorrected formation energy (eV per atom) = 0.457